A plane-wave DFT calculation with PBE was carried out for an optimized crystal structure of Dy4CdOs.

* symmetry: F-43m, No. 216
* offset from the most stable computed form: 0.0 meV per atom
* DFT total energy: -5.37 eV/atom
* total moment: 0.0 μB per formula unit

```
Dy4CdOs
1.0
-7.0832 5.6644 -3.2473
-6.3924 3.7325 6.1650
0.1121 9.4376 1.9289
Dy Cd Os
16 4 4
Cartesian
-10.1331 16.2951 2.2072 Dy
-5.3980 7.6080 1.9577 Dy
-6.5030 5.9045 4.7354 Dy
-6.9298 7.0983 -1.0807 Dy
-9.9123 11.9567 5.0627 Dy
-12.6150 14.1181 3.8236 Dy
-10.8798 9.4047 2.7288 Dy
-8.1198 9.7845 0.7099 Dy
-10.1758 12.6939 1.4711 Dy
-6.8606 12.9300 0.1112 Dy
-9.8695 15.5579 5.7987 Dy
-6.4337 11.7362 5.9272 Dy
-2.4838 9.4298 2.1178 Dy
-7.8543 9.0422 4.3266 Dy
-5.3550 11.2344 2.6989 Dy
-7.4303 14.1337 3.4463 Dy
-4.5426 5.0155 -0.2202 Cd
-2.2321 6.2272 1.4419 Cd
-4.3208 4.3952 2.8023 Cd
-2.2681 3.1966 0.8226 Cd
-5.0155 8.9917 4.4086 Os
-8.2192 7.3117 2.1039 Os
-5.3231 9.8519 0.2178 Os
-8.1693 11.5138 2.9628 Os
```